This record from Alexandria via LeMat-Bulk describes Ca2SmTe4Pb after structural relaxation. The functional is PBE-GGA. Values from VASP.

The structure in Quantum ESPRESSO input format:
```
&SYSTEM
  ibrav = 0, nat = 8, ntyp = 4
/
ATOMIC_SPECIES
Pb 207.20 Pb.upf
Te 127.60 Te.upf
Sm 150.36 Sm.upf
Ca 40.08 Ca.upf
CELL_PARAMETERS angstrom
-3.701 -2.530 -0.343
3.924 -6.151 3.029
-3.324 4.071 5.825
ATOMIC_POSITIONS crystal
Pb 0.000 0.000 0.000
Te 0.000 0.748 0.252
Te 0.500 0.256 0.254
Te 0.500 0.744 0.746
Te 0.000 0.252 0.748
Sm 0.500 0.500 0.000
Ca 0.500 0.000 0.500
Ca 0.000 0.500 0.500
```

## Properties
Final energy, Ha/atom: -0.1596
Formation energy without anion corrections, eV per atom: -1.22
V, Å³/cell: 263.1
SG: P2/m (10)

This record from Alexandria via LeMat-Bulk describes CaSmTlPb after structural relaxation. The functional is PBE-GGA. Values from VASP.

The structure in Quantum ESPRESSO input format:
```
&SYSTEM
  ibrav = 0, nat = 4, ntyp = 4
/
ATOMIC_SPECIES
Tl 204.38 Tl.upf
Pb 207.20 Pb.upf
Ca 40.08 Ca.upf
Sm 150.36 Sm.upf
CELL_PARAMETERS angstrom
-1.992 -3.038 4.149
3.429 -2.970 3.137
0.956 1.498 5.221
ATOMIC_POSITIONS crystal
Tl 0.000 0.000 0.000
Pb 0.500 0.500 0.500
Ca 0.750 0.750 0.750
Sm 0.250 0.250 0.250
```

## Properties
Final energy, Ha/atom: -0.1332
Offset from the most stable computed form, meV/atom: 27
V, Å³/cell: 118.6
ΔH_f (0 K), meV per atom: -426
SG: F-43m (216)

This record from Alexandria via LeMat-Bulk describes CaSmTlPb after structural relaxation. The functional is PBE-GGA. Values from VASP.

The structure in Quantum ESPRESSO input format:
```
&SYSTEM
  ibrav = 0, nat = 4, ntyp = 4
/
ATOMIC_SPECIES
Tl 204.38 Tl.upf
Ca 40.08 Ca.upf
Sm 150.36 Sm.upf
Pb 207.20 Pb.upf
CELL_PARAMETERS angstrom
4.445 0.000 0.000
0.000 5.114 0.000
0.000 0.000 5.173
ATOMIC_POSITIONS crystal
Tl 0.000 0.000 0.000
Ca 0.500 0.500 0.000
Sm 0.500 0.000 0.500
Pb 0.000 0.500 0.500
```

## Properties
Final energy, Ha/atom: -0.1342
Offset from the most stable computed form, meV/atom: 0
V, Å³/cell: 117.6
ΔH_f (0 K), meV per atom: -453
SG: Pmmm (47)

This record from Alexandria via LeMat-Bulk describes Ca4Sn2Pb after structural relaxation. The functional is PBE-GGA. Values from VASP.

The structure in Quantum ESPRESSO input format:
```
&SYSTEM
  ibrav = 0, nat = 7, ntyp = 3
/
ATOMIC_SPECIES
Sn 118.71 Sn.upf
Pb 207.20 Pb.upf
Ca 40.08 Ca.upf
CELL_PARAMETERS angstrom
-1.044 -2.150 5.458
5.775 0.597 1.340
1.051 6.272 5.924
ATOMIC_POSITIONS crystal
Sn 0.398 0.398 0.204
Sn 0.602 0.602 0.796
Pb 0.000 0.000 0.000
Ca 0.802 0.802 0.395
Ca 0.198 0.198 0.605
Ca 0.000 0.500 0.000
Ca 0.500 0.000 0.000
```

## Properties
Final energy, Ha/atom: -0.1104
Offset from the most stable computed form, meV/atom: 319
V, Å³/cell: 269.9
ΔH_f (0 K), meV per atom: -188
SG: I4/mmm (139)